This record from Alexandria via LeMat-Bulk describes an optimized crystal structure of Ta2Al2In. The functional is PBE.

**Calculated density**: 9.24 Mg/m³
**M_tot**: 0.00 μB per formula unit
**E above lowest polymorph**: 0.000 eV per atom
**Calculated formation energy**: 0.13 eV/atom
**Uncorrected energy**: -6.657 eV/atom

Cell and atoms, written as extended XYZ:
```
10
Lattice="7.920 0.000 0.000 0.000 7.920 0.000 0.000 0.000 3.041" Properties=species:S:1:pos:R:3 pbc="T T T"
Ta 0.949 3.011 0.000
Ta 3.011 6.971 0.000
Ta 4.908 0.949 0.000
Ta 6.971 4.908 0.000
Al 1.393 5.353 1.520
Al 2.567 1.393 1.520
Al 5.353 6.527 1.520
Al 6.527 2.567 1.520
In 0.000 0.000 0.000
In 3.960 3.960 0.000
```